## Mn2CoNiO4 (PBE+U)

Data for Mn2CoNiO4 after structural relaxation.

Unit cell a=4.8473 b=4.8473 c=5.6189 alpha=114.70 beta=114.70 gamma=91.78
Site moments in Bohr magnetons follow the coordinates.
Atoms (fractional coordinates):
1 O 0.3655 0.8612 0.2267  0.13
2 O 0.1281 0.1281 0.7615  0.13
3 Mn 0.7531 0.2531 0.5062  4.61
4 Co 0.5014 0.5014 0.0029  2.71
5 Mn 0.2531 0.7531 0.5062  4.61
6 O 0.8612 0.3655 0.2267  0.13
7 O 0.6334 0.6334 0.7615  0.13
8 Ni 0.0045 0.0045 0.0090  1.81

Calculated values
E: -52.23 eV/cell
SG: Fmm2
Total moment: 1.875 μB per atom
Mass density: 4.59 g cm⁻³